The following is a PBE calculation of K2HfZrSe after structural relaxation, from the Alexandria database.

Cell: 6.950 6.950 5.017 Å, 90.00 90.00 90.00°
Fractional coordinates of all 5 atoms:
1 K 0.000 0.500 0.000
2 K 0.500 0.000 0.000
3 Hf 0.000 0.000 0.500
4 Zr 0.500 0.500 0.000
5 Se 0.500 0.500 0.500

Values from the calculation:
DOS(E_F): 7.2 states/eV/f.u.
Formation energy without anion corrections: 1.120 eV/atom
Total energy: -3.72 eV per atom
Symmetry: No. 123

---

The following is a PBE calculation of YThPdRh after structural relaxation, from the Alexandria database.

Cell: 5.023 5.023 5.023 Å, 60.00 60.00 60.00°
Fractional coordinates of all 4 atoms:
1 Y 0.000 0.000 0.000
2 Th 0.500 0.500 0.500
3 Pd 0.750 0.750 0.750
4 Rh 0.250 0.250 0.250

Values from the calculation:
DOS(E_F): 5.2 states/eV/f.u.
Energy relative to the lowest polymorph listed for this composition: 149 meV per atom
Total energy: -7.37 eV per atom
Calculated formation energy: -0.7611 eV per atom
Symmetry: No. 216

---

The following is a PBE calculation of VCo3H after structural relaxation, from the Alexandria database.

Cell: 4.078 5.048 4.463 Å, 90.00 90.00 90.00°
Fractional coordinates of all 10 atoms:
1 V 0.000 0.000 0.000
2 V 0.500 0.500 0.300
3 Co 0.000 0.242 0.484
4 Co 0.000 0.500 0.993
5 Co 0.000 0.758 0.484
6 Co 0.500 0.000 0.326
7 Co 0.500 0.244 0.823
8 Co 0.500 0.756 0.823
9 H 0.244 0.500 0.664
10 H 0.756 0.500 0.664

Values from the calculation:
DOS(E_F): 2.7 states/eV/f.u.
Energy relative to the lowest polymorph listed for this composition: 16 meV per atom
Total energy: -6.89 eV per atom
Symmetry: No. 25

---

The following is a PBE calculation of La2Sm2Te7 after structural relaxation, from the Alexandria database.

Cell: 8.024 8.024 6.972 Å, 90.00 90.00 90.10°
Fractional coordinates of all 11 atoms:
1 La 0.235 0.765 0.000
2 La 0.765 0.235 0.000
3 Sm 0.220 0.220 0.500
4 Sm 0.780 0.780 0.500
5 Te 0.000 0.000 0.251
6 Te 0.000 0.000 0.749
7 Te 0.000 0.500 0.261
8 Te 0.000 0.500 0.739
9 Te 0.500 0.000 0.261
10 Te 0.500 0.000 0.739
11 Te 0.500 0.500 0.000

Values from the calculation:
DOS(E_F): 5.1 states/eV/f.u.
Formation energy without anion corrections: -1.117 eV/atom
Total energy: -4.87 eV per atom
Symmetry: No. 65

---

The following is a PBE calculation of Li6ZnPb2 after structural relaxation, from the Alexandria database.

Cell: 8.231 8.231 3.172 Å, 91.19 91.19 57.74°
Fractional coordinates of all 9 atoms:
1 Li 0.159 0.513 0.506
2 Li 0.191 0.809 0.000
3 Li 0.487 0.841 0.494
4 Li 0.513 0.159 0.506
5 Li 0.809 0.191 0.000
6 Li 0.841 0.487 0.494
7 Zn 0.500 0.500 0.500
8 Pb 0.180 0.180 0.987
9 Pb 0.820 0.820 0.013

Values from the calculation:
DOS(E_F): 2.8 states/eV/f.u.
Energy relative to the lowest polymorph listed for this composition: 2 meV per atom
Total energy: -2.42 eV per atom
Calculated formation energy: -0.1768 eV per atom
Symmetry: No. 12

---

The following is a PBE calculation of Pm2P4Ir3Pt after structural relaxation, from the Alexandria database.

Cell: 4.227 4.227 9.500 Å, 90.00 90.00 90.00°
Fractional coordinates of all 10 atoms:
1 Pm 0.000 0.500 0.241
2 Pm 0.500 0.000 0.759
3 P 0.000 0.000 0.000
4 P 0.000 0.500 0.641
5 P 0.500 0.000 0.359
6 P 0.500 0.500 0.000
7 Ir 0.000 0.500 0.889
8 Ir 0.500 0.000 0.111
9 Ir 0.500 0.500 0.500
10 Pt 0.000 0.000 0.500

Values from the calculation:
DOS(E_F): 5.7 states/eV/f.u.
Total energy: -7.36 eV per atom
Calculated formation energy: -0.9848 eV per atom
Symmetry: No. 115